Record 1
Pa5Te5As, optimized geometry, DFT GGA-PBE; M_tot = 1.5 Bohr magnetons per cell; total energy = -6.938 eV/atom; formation energy (no corrections) = -771 meV per atom
1.0
6.676 -3.011 0.000
6.676 3.011 0.000
-2.773 0.000 8.081
Pa Te As
5 5 1
Direct
0.000 0.000 0.000
0.332 0.332 0.147
0.341 0.341 0.687
0.659 0.659 0.313
0.668 0.668 0.853
0.149 0.149 0.799
0.166 0.166 0.345
0.500 0.500 0.500
0.834 0.834 0.655
0.851 0.851 0.201
0.500 0.500 0.000

Record 2
Pa5Te4As, optimized geometry, DFT GGA-PBE; M_tot = 3.7 Bohr magnetons per cell; total energy = -7.144 eV/atom; formation energy (no corrections) = -674 meV per atom
1.0
4.102 0.000 0.000
0.000 4.465 0.000
-2.039 -0.668 15.232
Pa Te As
5 4 1
Direct
0.000 0.000 0.000
0.208 0.166 0.416
0.410 0.372 0.819
0.590 0.628 0.181
0.792 0.834 0.584
0.103 0.133 0.206
0.307 0.337 0.614
0.693 0.663 0.386
0.897 0.867 0.794
0.500 0.500 0.000

Record 3
Pa4Te4As, optimized geometry, DFT GGA-PBE; M_tot = 9.0 Bohr magnetons per cell; total energy = -6.403 eV/atom; formation energy (no corrections) = -270 meV per atom
1.0
-3.657 3.657 5.817
3.657 -3.657 5.817
3.657 3.657 -5.817
Pa Te As
4 4 1
Direct
0.053 0.640 0.000
0.360 0.360 0.413
0.640 0.053 0.000
0.947 0.947 0.587
0.000 0.500 0.500
0.344 0.344 0.000
0.500 0.000 0.500
0.656 0.656 0.000
0.000 0.000 0.000

Record 4
Pa2Te2As, optimized geometry, DFT GGA-PBE; M_tot = 0.0 Bohr magnetons per cell; total energy = -6.905 eV/atom; formation energy (no corrections) = -920 meV per atom; E above lowest polymorph = 0.00 eV/f.u.
1.0
2.074 1.198 10.653
-2.074 1.198 10.653
0.000 -2.395 10.653
Pa Te As
2 2 1
Direct
0.116 0.116 0.116
0.884 0.884 0.884
0.277 0.277 0.277
0.723 0.723 0.723
0.500 0.500 0.500

Record 5
Pa2Te3As, optimized geometry, DFT GGA-PBE; M_tot = 0.9 Bohr magnetons per cell; total energy = -6.382 eV/atom; formation energy (no corrections) = -871 meV per atom; E above lowest polymorph = 0.00 eV/f.u.
1.0
10.753 -2.016 0.000
10.753 2.016 0.000
-3.188 0.000 7.873
Pa Te As
4 6 2
Direct
0.090 0.090 0.148
0.293 0.293 0.323
0.707 0.707 0.677
0.910 0.910 0.852
0.093 0.093 0.511
0.181 0.181 0.936
0.476 0.476 0.165
0.524 0.524 0.835
0.819 0.819 0.064
0.907 0.907 0.489
0.306 0.306 0.690
0.694 0.694 0.310

Record 6
Pa2TeAs3, optimized geometry, DFT GGA-PBE; M_tot = 0.4 Bohr magnetons per cell; total energy = -6.859 eV/atom; formation energy (no corrections) = -845 meV per atom
1.0
4.115 0.000 0.000
0.000 4.115 0.000
0.000 0.000 8.281
Pa Te As
2 1 3
Direct
0.000 0.500 0.209
0.500 0.000 0.791
0.000 0.000 0.500
0.000 0.500 0.858
0.500 0.000 0.142
0.500 0.500 0.500

Record 7
Pa2Te3As, optimized geometry, DFT GGA-PBE; M_tot = 0.1 Bohr magnetons per cell; total energy = -6.227 eV/atom; formation energy (no corrections) = -716 meV per atom; E above lowest polymorph = 0.93 eV/f.u.
1.0
8.178 -2.215 0.000
8.178 2.215 0.000
-5.100 0.000 10.656
Pa Te As
4 6 2
Direct
0.008 0.008 0.195
0.255 0.255 0.361
0.745 0.745 0.639
0.992 0.992 0.805
0.111 0.111 0.490
0.137 0.137 0.067
0.396 0.396 0.244
0.604 0.604 0.756
0.863 0.863 0.933
0.889 0.889 0.510
0.363 0.363 0.717
0.637 0.637 0.283

Record 8
PaTe4As, optimized geometry, DFT GGA-PBE; M_tot = 0.0 Bohr magnetons per cell; total energy = -4.811 eV/atom; formation energy (no corrections) = -359 meV per atom
1.0
4.486 0.000 0.000
0.000 4.262 0.000
-0.247 0.000 9.512
Pa Te As
1 4 1
Direct
0.000 0.000 0.000
0.015 0.500 0.268
0.486 0.000 0.735
0.514 0.000 0.265
0.985 0.500 0.732
0.500 0.500 0.000

Record 9
Pa2Te2As, optimized geometry, DFT GGA-PBE; M_tot = 1.4 Bohr magnetons per cell; total energy = -6.735 eV/atom; formation energy (no corrections) = -750 meV per atom; E above lowest polymorph = 0.85 eV/f.u.
1.0
-2.025 3.044 6.324
2.025 -3.044 6.324
2.025 3.044 -6.324
Pa Te As
2 2 1
Direct
0.158 0.158 0.000
0.842 0.842 0.000
0.346 0.846 0.500
0.654 0.154 0.500
0.000 0.500 0.500

Record 10
Pa5TeAs4, optimized geometry, DFT GGA-PBE; M_tot = 0.0 Bohr magnetons per cell; total energy = -7.872 eV/atom; formation energy (no corrections) = -950 meV per atom
1.0
-2.042 2.935 10.500
2.042 -2.935 10.500
2.042 2.935 -10.500
Pa Te As
5 1 4
Direct
0.000 0.000 0.000
0.198 0.198 0.000
0.391 0.391 0.000
0.609 0.609 0.000
0.802 0.802 0.000
0.500 0.000 0.500
0.099 0.599 0.500
0.296 0.796 0.500
0.704 0.204 0.500
0.901 0.401 0.500

Record 11
ThPaTeAs, optimized geometry, DFT GGA-PBE; M_tot = 0.0 Bohr magnetons per cell; total energy = -7.038 eV/atom; formation energy (no corrections) = -861 meV per atom
1.0
0.000 3.692 3.692
3.692 0.000 3.692
3.692 3.692 0.000
Th Pa Te As
1 1 1 1
Direct
0.000 0.000 0.000
0.500 0.500 0.500
0.750 0.750 0.750
0.250 0.250 0.250

Record 12
TmPaTeAs, optimized geometry, DFT GGA-PBE; M_tot = 1.0 Bohr magnetons per cell; total energy = -6.519 eV/atom; formation energy (no corrections) = -1080 meV per atom
1.0
2.019 1.165 7.490
-2.019 1.165 7.490
0.000 -2.331 7.490
Tm Pa Te As
1 1 1 1
Direct
0.000 0.000 0.000
0.189 0.189 0.189
0.760 0.760 0.760
0.596 0.596 0.596